Entry 1:
DFT (PBE-GGA) results for a geometry-optimized Ba8SiAu3I4 structure.

## Properties
Formation energy (no corrections) (meV/atom): -1014
VASP energy (eV/atom): -3.317

a b c (Å): 9.5666 9.5666 26.2807
angles (deg): 90.00 90.00 120.00
Space group R-3m (No. 166, hexagonal axes)
Inequivalent atoms, fractional coordinates:
Ba1 0.0000 0.0000 0.2372 (multiplicity 6)
Ba2 0.0050 0.5025 0.2363 (multiplicity 18)
Si1 0.0000 0.0000 0.5000 (multiplicity 3)
Au1 0.0000 0.5000 0.5000 (multiplicity 9)
I1 0.0000 0.0000 0.0000 (multiplicity 3)
I2 0.0000 0.5000 0.0000 (multiplicity 9)



Entry 2:
DFT (PBE-GGA) results for a geometry-optimized Ba6SnAu2I3 structure.

## Properties
Formation energy (no corrections) (meV/atom): -1047
VASP energy (eV/atom): -3.276

a b c (Å): 22.4702 4.8429 10.4488
angles (deg): 90.00 109.20 90.00
Space group C2/m (No. 12)
Inequivalent atoms, fractional coordinates:
Ba1 0.0086 0.0000 0.2391 (multiplicity 4)
Ba2 0.1613 0.5000 0.1063 (multiplicity 4)
Ba3 0.1774 0.5000 0.5589 (multiplicity 4)
Sn1 0.0000 0.5000 0.0000 (multiplicity 2)
Au1 0.1686 0.0000 0.3347 (multiplicity 4)
I1 0.0000 0.5000 0.5000 (multiplicity 2)
I2 0.1651 0.0000 0.8354 (multiplicity 4)